Entry 1:
CaLa2Nd9 | the Alexandria database | PBE | relaxed; formation energy = 0.03 eV/atom; DOS(E_F) = 1.72 states/eV per atom
1.0
-0.300 5.094 1.223
-5.239 -0.294 -0.060
0.032 -3.657 15.242
Ca La Nd
1 2 9
Direct
0.000 0.000 0.000
0.000 0.000 0.333
0.000 0.000 0.667
0.500 0.500 0.000
0.500 0.500 0.332
0.500 0.500 0.668
0.500 0.000 0.171
0.500 0.000 0.500
0.500 0.000 0.829
0.000 0.500 0.171
0.000 0.500 0.500
0.000 0.500 0.829

***

Entry 2:
CaLa4Nd2 | the Alexandria database | PBE | relaxed; energy above the most stable polymorph in this dataset = 177 meV/atom; formation energy = 0.20 eV/atom; DOS(E_F) = 1.67 states/eV per atom
1.0
12.045 0.000 0.000
6.022 7.035 0.604
6.022 2.861 6.455
Ca La Nd
2 8 4
Direct
0.000 0.500 0.000
0.500 0.500 0.000
0.236 0.230 0.298
0.236 0.798 0.730
0.330 0.172 0.672
0.826 0.172 0.672
0.174 0.828 0.328
0.764 0.202 0.270
0.670 0.828 0.328
0.764 0.770 0.702
0.967 0.283 0.783
0.500 0.000 0.000
0.500 0.500 0.500
0.033 0.717 0.217

***

Entry 3:
Ca3La2Nd2 | the Alexandria database | PBE | relaxed; formation energy = 0.06 eV/atom; DOS(E_F) = 1.41 states/eV per atom
1.0
-2.825 -0.802 -2.203
1.601 -5.614 -0.009
-6.533 -4.915 10.167
Ca La Nd
3 2 2
Direct
0.500 0.424 0.151
0.500 0.576 0.849
0.000 0.000 0.000
0.500 0.280 0.440
0.500 0.720 0.560
0.000 0.153 0.694
0.000 0.847 0.306

***

no.,total magnetic moment (Bohr magnetons per cell)
1,0.001
2,0.000
3,0.000